! AlCu2GeOs (GGA-PBE, optimized geometry); values from VASP
&SYSTEM
  ibrav = 0, nat = 5, ntyp = 4
/
ATOMIC_SPECIES
Al 26.98 Al.upf
Cu 63.55 Cu.upf
Ge 72.64 Ge.upf
Os 190.23 Os.upf
CELL_PARAMETERS angstrom
4.7048 0.0000 0.0000
0.0000 4.7048 0.0000
0.0000 0.0000 4.6285
ATOMIC_POSITIONS crystal
Al 0.0000 0.0000 0.0000
Cu 0.0000 0.5000 0.5000
Cu 0.5000 0.0000 0.5000
Ge 0.5000 0.5000 0.0000
Os 0.0000 0.0000 0.5000
! - space-group type = P4/mmm, No. 123
! - E_form (kJ/mol of atoms) = 94.07
! - energy (eV/atom) = -4.581
! - Fermi-level density of states (states/eV per atom) = 0.58